Record 1
A relaxed structure of SrLiNpTe3, computed with PBE.

Unit cell a=4.479 b=9.255 c=9.780 alpha=103.38 beta=90.00 gamma=90.00
Last column: magnetic moment on the atom in μB.
Fractional coordinates of all 12 atoms:
Sr 0.250 0.188 0.238  0.00
Sr 0.750 0.812 0.762  0.00
Li 0.250 0.085 0.586  0.00
Li 0.750 0.915 0.414  0.00
Np 0.250 0.671 0.160  -4.01
Np 0.750 0.329 0.840  -4.01
Te 0.750 0.899 0.130  0.06
Te 0.250 0.101 0.870  0.06
Te 0.250 0.776 0.489  0.04
Te 0.750 0.224 0.511  0.04
Te 0.750 0.438 0.169  0.07
Te 0.250 0.562 0.831  0.07

Values from the calculation:
**Energy relative to the elements, uncorrected**: -1075 meV/atom
**Crystal system**: monoclinic

Record 2
A relaxed structure of Sr3LiNp3Te8, computed with PBE.

Unit cell a=8.994 b=8.994 c=9.198 alpha=119.27 beta=90.00 gamma=119.98
Last column: magnetic moment on the atom in μB.
Fractional coordinates of all 15 atoms:
Sr 0.000 0.000 0.000  0.00
Sr 0.000 0.500 0.000  0.00
Sr 0.500 0.500 0.000  0.00
Li 0.000 0.000 0.500  0.00
Np 0.500 0.000 0.500  4.00
Np 0.500 0.500 0.500  4.00
Np 0.000 0.500 0.500  4.00
Te 0.255 0.510 0.265  -0.05
Te 0.745 0.490 0.735  -0.05
Te 0.755 0.510 0.272  -0.08
Te 0.245 0.490 0.728  -0.08
Te 0.755 0.017 0.272  -0.08
Te 0.245 0.983 0.728  -0.08
Te 0.262 0.017 0.272  -0.08
Te 0.738 0.983 0.728  -0.08

Values from the calculation:
**Energy relative to the elements, uncorrected**: -1040 meV/atom
**Crystal system**: trigonal

Record 3
A relaxed structure of Sr2LiNpTe4, computed with PBE.

Unit cell a=4.591 b=7.909 c=7.924 alpha=109.07 beta=90.00 gamma=90.00
Last column: magnetic moment on the atom in μB.
Fractional coordinates of all 8 atoms:
Sr 0.500 0.000 0.500  0.00
Sr 0.000 0.500 0.500  0.00
Li 0.500 0.500 0.000  0.00
Np 0.000 0.000 0.000  4.00
Te 0.500 0.245 0.230  -0.04
Te 0.500 0.755 0.770  -0.04
Te 0.000 0.255 0.770  -0.03
Te 0.000 0.745 0.230  -0.03

Values from the calculation:
**Energy relative to the elements, uncorrected**: -1218 meV/atom
**Crystal system**: monoclinic

Record 4
A relaxed structure of Li4TbNp3Te8, computed with PBE.

Unit cell a=8.757 b=8.666 c=8.757 alpha=120.36 beta=120.00 gamma=90.00
Last column: magnetic moment on the atom in μB.
Fractional coordinates of all 16 atoms:
Li 0.500 0.000 0.000  0.00
Li 0.500 0.000 0.500  -0.01
Li 0.000 0.000 0.000  -0.01
Li 0.000 0.000 0.500  -0.01
Tb 0.000 0.500 0.000  0.06
Np 0.500 0.500 0.000  3.98
Np 0.500 0.500 0.500  3.98
Np 0.000 0.500 0.500  3.98
Te 0.252 0.758 0.007  -0.06
Te 0.252 0.758 0.503  -0.06
Te 0.248 0.243 0.495  -0.09
Te 0.755 0.758 0.007  -0.06
Te 0.245 0.242 0.993  -0.06
Te 0.752 0.757 0.505  -0.09
Te 0.748 0.242 0.497  -0.06
Te 0.748 0.242 0.993  -0.06

Values from the calculation:
**Energy relative to the elements, uncorrected**: -910 meV/atom
**Crystal system**: trigonal

Record 5
A relaxed structure of Li4Tb3NpTe8, computed with PBE.

Unit cell a=8.742 b=8.674 c=8.742 alpha=120.27 beta=120.00 gamma=90.00
Last column: magnetic moment on the atom in μB.
Fractional coordinates of all 16 atoms:
Li 0.500 0.000 0.000  0.00
Li 0.500 0.000 0.500  0.00
Li 0.000 0.000 0.000  0.00
Li 0.000 0.000 0.500  0.00
Tb 0.500 0.500 0.000  0.03
Tb 0.500 0.500 0.500  0.02
Tb 0.000 0.500 0.500  0.02
Np 0.000 0.500 0.000  3.94
Te 0.254 0.757 0.003  -0.03
Te 0.254 0.757 0.508  -0.03
Te 0.248 0.244 0.496  0.00
Te 0.749 0.757 0.003  -0.03
Te 0.251 0.243 0.997  -0.03
Te 0.752 0.756 0.504  0.00
Te 0.746 0.243 0.492  -0.03
Te 0.746 0.243 0.997  -0.03

Values from the calculation:
**Energy relative to the elements, uncorrected**: -1162 meV/atom
**Crystal system**: trigonal

Record 6
A relaxed structure of Li2TbNpTe4, computed with PBE.

Unit cell a=4.374 b=7.599 c=7.486 alpha=109.89 beta=90.00 gamma=90.00
Last column: magnetic moment on the atom in μB.
Fractional coordinates of all 8 atoms:
Li 0.500 0.000 0.500  0.00
Li 0.000 0.500 0.500  -0.01
Tb 0.500 0.500 0.000  0.04
Np 0.000 0.000 0.000  3.96
Te 0.500 0.255 0.257  -0.06
Te 0.500 0.745 0.743  -0.06
Te 0.000 0.250 0.742  -0.03
Te 0.000 0.750 0.258  -0.03

Values from the calculation:
**Energy relative to the elements, uncorrected**: -1034 meV/atom
**Crystal system**: monoclinic

Record 7
A relaxed structure of Li5NpTe6, computed with PBE.

Unit cell a=7.202 b=7.348 c=7.231 alpha=59.46 beta=80.46 gamma=70.97
Last column: magnetic moment on the atom in μB.
Fractional coordinates of all 12 atoms:
Li 0.500 0.159 0.681  -0.01
Li 0.000 0.331 0.337  -0.01
Li 0.500 0.500 0.000  -0.01
Li 0.000 0.669 0.663  -0.01
Li 0.500 0.841 0.319  -0.01
Np 0.000 0.000 0.000  2.61
Te 0.746 0.081 0.331  -0.16
Te 0.254 0.588 0.331  -0.16
Te 0.242 0.254 0.000  -0.16
Te 0.758 0.746 0.000  -0.16
Te 0.746 0.412 0.669  -0.16
Te 0.254 0.919 0.669  -0.16

Values from the calculation:
**Energy relative to the elements, uncorrected**: -680 meV/atom
**Crystal system**: monoclinic

Record 8
A relaxed structure of Li2NpTe3, computed with PBE.

Unit cell a=4.363 b=7.366 c=10.483 alpha=90.52 beta=90.00 gamma=90.00
Last column: magnetic moment on the atom in μB.
Fractional coordinates of all 12 atoms:
Li 0.250 0.264 0.983  -0.01
Li 0.750 0.736 0.017  -0.01
Li 0.750 0.428 0.317  -0.01
Li 0.250 0.572 0.683  -0.01
Np 0.250 0.909 0.321  3.55
Np 0.750 0.091 0.679  3.55
Te 0.750 0.085 0.164  -0.13
Te 0.250 0.915 0.836  -0.13
Te 0.750 0.426 0.834  -0.13
Te 0.250 0.574 0.166  -0.13
Te 0.250 0.246 0.501  -0.14
Te 0.750 0.754 0.499  -0.14

Values from the calculation:
**Energy relative to the elements, uncorrected**: -783 meV/atom
**Crystal system**: monoclinic
**Energy relative to the lowest polymorph listed for this composition**: 16 meV/atom